*w*
DFT (PBE) results for a relaxed structure of Ce2PdCl.

Summary:
The value obtained for the density of states at the Fermi level is 38.68 states/eV/cell. As for the total magnetization: 2.071 μB/f.u.

CIF file:
```
data_Ce2PdCl
_chemical_formula_sum 'Ce6 Pd3 Cl3'
_cell_length_a 4.1275
_cell_length_b 4.1275
_cell_length_c 20.7691
_cell_angle_alpha 90.00
_cell_angle_beta 90.00
_cell_angle_gamma 120.00
_symmetry_space_group_name_H-M 'R -3 m'
_symmetry_Int_Tables_number 166
_symmetry_space_group_name_Hall '-R 3 2"'
loop_
_atom_site_label
_atom_site_type_symbol
_atom_site_fract_x
_atom_site_fract_y
_atom_site_fract_z
Ce1 Ce 0.0000 0.0000 0.2479
Pd1 Pd 0.0000 0.0000 0.5000
Cl1 Cl 0.0000 0.0000 0.0000
```


*x*
DFT (PBE) results for a relaxed structure of Ce2PdCl.

Summary:
The value obtained for the density of states at the Fermi level is 34.75 states/eV/cell. As for the total magnetization: 2.588 μB/f.u.

CIF file:
```
data_Ce2PdCl
_chemical_formula_sum 'Ce6 Pd3 Cl3'
_cell_length_a 3.9428
_cell_length_b 3.9428
_cell_length_c 23.5009
_cell_angle_alpha 90.00
_cell_angle_beta 90.00
_cell_angle_gamma 120.00
_symmetry_space_group_name_H-M 'R 3 m'
_symmetry_Int_Tables_number 160
_symmetry_space_group_name_Hall 'R 3 -2"'
loop_
_atom_site_label
_atom_site_type_symbol
_atom_site_fract_x
_atom_site_fract_y
_atom_site_fract_z
Ce1 Ce 0.0000 0.0000 0.0000
Ce2 Ce 0.0000 0.0000 0.1823
Pd1 Pd 0.0000 0.0000 0.5909
Cl1 Cl 0.0000 0.0000 0.7576
```


Which of them is the most stable? Correct choice: *w*.


*w*
DFT (PBE) results for a relaxed structure of Ce2PmCl8.

Summary:
The value obtained for the density of states at the Fermi level is 39.91 states/eV/cell. As for the total magnetization: 3.028 μB/f.u.

CIF file:
```
data_Ce2PmCl8
_chemical_formula_sum 'Ce4 Pm2 Cl16'
_cell_length_a 15.712
_cell_length_b 4.915
_cell_length_c 8.650
_cell_angle_alpha 90.00
_cell_angle_beta 100.11
_cell_angle_gamma 90.00
_symmetry_space_group_name_H-M 'C 1 2/m 1'
_symmetry_Int_Tables_number 12
_symmetry_space_group_name_Hall '-C 2y'
loop_
_atom_site_label
_atom_site_type_symbol
_atom_site_fract_x
_atom_site_fract_y
_atom_site_fract_z
Ce1 Ce 0.239 0.000 0.235
Pm1 Pm 0.000 0.000 0.500
Cl1 Cl 0.060 0.000 0.221
Cl2 Cl 0.073 0.500 0.652
Cl3 Cl 0.186 0.500 0.053
Cl4 Cl 0.198 0.000 0.576
```


*x*
DFT (PBE) results for a relaxed structure of Ce2PmCl8.

Summary:
The value obtained for the density of states at the Fermi level is 38.56 states/eV/cell. As for the total magnetization: 3.023 μB/f.u.

CIF file:
```
data_Ce2PmCl8
_chemical_formula_sum 'Ce4 Pm2 Cl16'
_cell_length_a 8.420
_cell_length_b 12.528
_cell_length_c 5.687
_cell_angle_alpha 90.00
_cell_angle_beta 105.20
_cell_angle_gamma 90.00
_symmetry_space_group_name_H-M 'C 1 2/m 1'
_symmetry_Int_Tables_number 12
_symmetry_space_group_name_Hall '-C 2y'
loop_
_atom_site_label
_atom_site_type_symbol
_atom_site_fract_x
_atom_site_fract_y
_atom_site_fract_z
Ce1 Ce 0.000 0.186 0.000
Pm1 Pm 0.000 0.500 0.500
Cl1 Cl 0.000 0.278 0.500
Cl2 Cl 0.150 0.000 0.315
Cl3 Cl 0.199 0.371 0.111
```


Which of them is the most stable? Correct choice: *w*.


*w*
DFT (PBE) results for a relaxed structure of RbCeCl6.

Summary:
The value obtained for the density of states at the Fermi level is 21.90 states/eV/cell. As for the total magnetization: 0.316 μB/f.u.

CIF file:
```
data_RbCeCl6
_chemical_formula_sum 'Rb2 Ce2 Cl12'
_cell_length_a 7.392
_cell_length_b 7.392
_cell_length_c 9.308
_cell_angle_alpha 90.00
_cell_angle_beta 90.00
_cell_angle_gamma 90.00
_symmetry_space_group_name_H-M 'P 42/m'
_symmetry_Int_Tables_number 84
_symmetry_space_group_name_Hall '-P 4c'
loop_
_atom_site_label
_atom_site_type_symbol
_atom_site_fract_x
_atom_site_fract_y
_atom_site_fract_z
Rb1 Rb 0.000 0.000 0.000
Ce1 Ce 0.500 0.500 0.250
Cl1 Cl 0.199 0.324 0.180
Cl2 Cl 0.302 0.383 0.500
```


*x*
DFT (PBE) results for a relaxed structure of RbCeCl6.

Summary:
The value obtained for the density of states at the Fermi level is 31.47 states/eV/cell. As for the total magnetization: 0.819 μB/f.u.

CIF file:
```
data_RbCeCl6
_chemical_formula_sum 'Rb3 Ce3 Cl18'
_cell_length_a 7.1150
_cell_length_b 7.1150
_cell_length_c 19.9927
_cell_angle_alpha 90.00
_cell_angle_beta 90.00
_cell_angle_gamma 120.00
_symmetry_space_group_name_H-M 'R -3 m'
_symmetry_Int_Tables_number 166
_symmetry_space_group_name_Hall '-R 3 2"'
loop_
_atom_site_label
_atom_site_type_symbol
_atom_site_fract_x
_atom_site_fract_y
_atom_site_fract_z
Rb1 Rb 0.0000 0.0000 0.0000
Ce1 Ce 0.0000 0.0000 0.5000
Cl1 Cl 0.0070 0.5035 0.9124
```


Which of them is the most stable? Correct choice: *w*.


*w*
DFT (PBE) results for a relaxed structure of Rb3CeCl6.

Summary:
The value obtained for the density of states at the Fermi level is 33.62 states/eV/cell. As for the total magnetization: 1.000 μB/f.u.

CIF file:
```
data_Rb3CeCl6
_chemical_formula_sum 'Rb12 Ce4 Cl24'
_cell_length_a 11.734
_cell_length_b 11.734
_cell_length_c 11.734
_cell_angle_alpha 90.00
_cell_angle_beta 90.00
_cell_angle_gamma 90.00
_symmetry_space_group_name_H-M 'F m -3 m'
_symmetry_Int_Tables_number 225
_symmetry_space_group_name_Hall '-F 4 2 3'
loop_
_atom_site_label
_atom_site_type_symbol
_atom_site_fract_x
_atom_site_fract_y
_atom_site_fract_z
Rb1 Rb 0.000 0.000 0.000
Rb2 Rb 0.250 0.250 0.250
Ce1 Ce 0.000 0.000 0.500
Cl1 Cl 0.000 0.000 0.266
```


*x*
DFT (PBE) results for a relaxed structure of Rb3CeCl6.

Summary:
The value obtained for the density of states at the Fermi level is 16.49 states/eV/cell. As for the total magnetization: 1.000 μB/f.u.

CIF file:
```
data_Rb3CeCl6
_chemical_formula_sum 'Rb6 Ce2 Cl12'
_cell_length_a 7.882
_cell_length_b 8.350
_cell_length_c 13.660
_cell_angle_alpha 90.00
_cell_angle_beta 124.23
_cell_angle_gamma 90.00
_symmetry_space_group_name_H-M 'P 1 21/c 1'
_symmetry_Int_Tables_number 14
_symmetry_space_group_name_Hall '-P 2ybc'
loop_
_atom_site_label
_atom_site_type_symbol
_atom_site_fract_x
_atom_site_fract_y
_atom_site_fract_z
Rb1 Rb 0.000 0.000 0.000
Rb2 Rb 0.218 0.069 0.744
Ce1 Ce 0.500 0.000 0.500
Cl1 Cl 0.162 0.179 0.444
Cl2 Cl 0.254 0.727 0.423
Cl3 Cl 0.400 0.059 0.273
```


Which of them is the most stable? Correct choice: *x*.


*w*
DFT (PBE) results for a relaxed structure of Ce2SCl.

Summary:
The value obtained for the density of states at the Fermi level is 82.43 states/eV/cell. As for the total magnetization: 1.389 μB/f.u.

CIF file:
```
data_Ce2SCl
_chemical_formula_sum 'Ce16 S8 Cl8'
_cell_length_a 8.004
_cell_length_b 16.123
_cell_length_c 6.945
_cell_angle_alpha 90.00
_cell_angle_beta 125.08
_cell_angle_gamma 90.00
_symmetry_space_group_name_H-M 'C 1 2/c 1'
_symmetry_Int_Tables_number 15
_symmetry_space_group_name_Hall '-C 2yc'
loop_
_atom_site_label
_atom_site_type_symbol
_atom_site_fract_x
_atom_site_fract_y
_atom_site_fract_z
Ce1 Ce 0.237 0.063 0.241
Ce2 Ce 0.245 0.188 0.741
S1 S 0.000 0.063 0.750
S2 S 0.000 0.188 0.250
Cl1 Cl 0.000 0.313 0.750
Cl2 Cl 0.000 0.438 0.250
```


*x*
DFT (PBE) results for a relaxed structure of Ce2SCl.

Summary:
The value obtained for the density of states at the Fermi level is 31.47 states/eV/cell. As for the total magnetization: 2.360 μB/f.u.

CIF file:
```
data_Ce2SCl
_chemical_formula_sum 'Ce6 S3 Cl3'
_cell_length_a 3.8893
_cell_length_b 3.8893
_cell_length_c 22.0833
_cell_angle_alpha 90.00
_cell_angle_beta 90.00
_cell_angle_gamma 120.00
_symmetry_space_group_name_H-M 'R 3 m'
_symmetry_Int_Tables_number 160
_symmetry_space_group_name_Hall 'R 3 -2"'
loop_
_atom_site_label
_atom_site_type_symbol
_atom_site_fract_x
_atom_site_fract_y
_atom_site_fract_z
Ce1 Ce 0.0000 0.0000 0.0000
Ce2 Ce 0.0000 0.0000 0.1867
S1 S 0.0000 0.0000 0.5930
Cl1 Cl 0.0000 0.0000 0.7623
```


Which of them is the most stable? Correct choice: *w*.